Record 1
5
Lattice="4.9935 0.0000 0.0000 0.0000 4.9935 0.0000 0.0000 0.0000 5.2524" Properties=species:S:1:pos:R:3 comment="BeCuTe2I, optimized geometry, DFT PBE-GGA" polymorph_energy_mev_per_atom=0 e_form_raw_kcal_per_mol_atoms=15.00 total_energy_ev_per_atom=-2.4808 pbc="T T T"
Te 0.0000 2.4968 0.0000
Te 2.4968 0.0000 0.0000
Cu 2.4968 2.4968 2.6262
Be 0.0000 0.0000 0.0000
I 0.0000 0.0000 2.6262


Record 2
7
Lattice="-1.6638 1.6638 11.6698 1.6638 -1.6638 11.6698 1.6638 1.6638 -11.6698" Properties=species:S:1:pos:R:3 comment="Cd3W4, optimized geometry, DFT PBE-GGA" polymorph_energy_mev_per_atom=0 total_energy_ev_per_atom=-7.3020 ef_ev_per_atom=0.492 pbc="T T T"
W 0.0000 0.0000 13.4842
W 0.0000 0.0000 20.3461
W 0.0000 0.0000 9.8554
W 0.0000 0.0000 2.9936
Cd 0.0000 0.0000 0.0000
Cd 0.0000 0.0000 6.7535
Cd 0.0000 0.0000 16.5861


Record 3
80
Lattice="13.7787 0.0000 0.0000 -4.5929 12.9907 0.0000 -4.5929 -6.4953 11.2502" Properties=species:S:1:pos:R:3 comment="Eu3Pd5Se12, optimized geometry, DFT PBE-GGA" e_form_raw_kcal_per_mol_atoms=-14.40 total_energy_ev_per_atom=-5.5543 pbc="T T T"
Pd 4.5929 -3.2477 5.6251
Pd -2.2964 6.4953 0.0000
Pd 4.5929 6.4953 0.0000
Pd 3.4447 9.7430 2.8126
Se -1.7286 -0.7987 5.2598
Se 5.1608 5.5872 8.9468
Se -1.2510 4.6168 9.8970
Se 7.4572 -0.9081 2.3035
Se 8.1403 -4.6168 9.8970
Se 5.6384 -1.1364 6.5754
Pd -4.5929 3.2477 5.6251
Se -4.4160 5.1436 10.8849
Se -1.0455 7.6318 4.6749
Se 5.8439 1.8785 1.3533
Eu 3.4447 0.0000 8.4377
Pd -1.1482 3.2477 2.8126
Se -3.5474 11.1121 1.3533
Se 5.2473 1.6676 10.2623
Se 4.0250 -1.7068 3.6869
Se -4.0250 5.6966 5.9904
Se 10.2313 3.0150 3.3216
Eu -5.7411 6.4953 8.4377
Eu -3.4447 2.4357 9.8440
Se 6.3215 7.2941 5.9904
Eu 1.1482 6.4953 2.8126
Pd -1.1482 10.5549 1.4063
Se 7.0662 11.6390 0.3653
Se 0.1769 4.2399 4.6372
Pd 8.0376 -0.8119 7.0314
Se 2.9509 8.1630 0.9880
Pd 5.7411 5.6834 4.2188
Pd 2.2964 3.2477 5.6251
Se 1.7286 4.7885 7.5633
Se -1.6420 0.0218 9.3121
Se -0.5679 0.9081 2.3035
Se -5.2473 -0.0218 9.3121
Se 0.5679 8.2022 7.5633
Eu 1.1482 -0.8119 4.2188
Se 5.2473 -1.6894 10.3000
Se 6.2349 6.4735 1.9382
Se 1.6420 1.6894 10.3000
Pd 1.1482 -3.2477 8.4377
Se 2.4733 -2.2555 6.6131
Se 9.3626 -2.8882 6.9784
Se 1.2510 1.1364 6.5754
Se 3.3419 5.3589 4.6749
Se 9.0089 1.3517 0.3653
Pd 1.1482 4.0596 9.8440
Se -2.4733 2.8882 6.9784
Se -5.6384 3.4804 7.9286
Eu -1.1482 5.6834 7.0314
Se 2.1196 8.7508 4.6372
Pd 0.0000 0.0000 0.0000
Pd -3.4447 7.3072 4.2188
Se 1.6420 -1.6676 10.2623
Se 9.8402 6.5171 1.9382
Se -2.8643 7.4034 8.9468
Se 8.6179 0.7987 5.2598
Eu 3.4447 7.3072 7.0314
Pd -2.2964 -3.2477 5.6251
Se 2.9509 4.8059 0.9502
Pd 3.4447 2.4357 1.4063
Pd 5.7411 3.2477 8.4377
Se -0.6545 4.8277 0.9880
Pd 5.7411 -4.0596 9.8440
Eu 10.3340 0.0000 2.8126
Se 4.4160 2.2555 6.6131
Se 5.8439 9.9757 3.3216
Se -1.2510 -3.4804 7.9286
Eu -3.4447 -2.4357 9.8440
Eu 8.0376 4.0596 1.4063
Pd -1.1482 0.8119 7.0314
Eu 5.7411 0.8119 4.2188
Pd 6.8893 0.0000 0.0000
Eu 8.0376 8.9311 1.4063
Se -2.4733 -5.1436 10.8849
Se 7.0662 3.6072 4.2719
Se 2.8643 1.7068 3.6869
Se -4.7698 9.3835 4.2719
Se -0.6545 8.1847 0.9502


Record 4
4
Lattice="5.2740 0.0000 0.0000 2.6370 4.5674 0.0000 2.6370 1.5225 4.3062" Properties=species:S:1:pos:R:3 comment="YbYHg2, optimized geometry, DFT PBE-GGA" total_energy_ev_per_atom=-2.7302 ef_ev_per_atom=-0.582 pbc="T T T"
Hg 5.2740 3.0449 2.1531
Hg 0.0000 0.0000 0.0000
Yb 2.6370 1.5225 1.0765
Y 7.9110 4.5674 3.2296


Record 5
4
Lattice="0.0000 3.1385 3.1385 3.1385 0.0000 3.1385 3.1385 3.1385 0.0000" Properties=species:S:1:pos:R:3 comment="AlSbOs2, optimized geometry, DFT PBE-GGA" polymorph_energy_mev_per_atom=0 e_form_raw_kcal_per_mol_atoms=1.68 total_energy_ev_per_atom=-7.5082 pbc="T T T"
Os 1.5692 1.5692 1.5692
Os 4.7077 4.7077 4.7077
Al 0.0000 0.0000 0.0000
Sb 3.1385 3.1385 3.1385


Record 6
14
Lattice="3.6324 0.0000 0.0000 -1.8162 6.0341 0.0000 0.0000 0.0000 12.9117" Properties=species:S:1:pos:R:3 comment="LiTi2Se4, optimized geometry, DFT PBE-GGA" polymorph_energy_mev_per_atom=59 e_form_raw_kcal_per_mol_atoms=-24.98 total_energy_ev_per_atom=-5.6034 pbc="T T T"
Li 0.0000 4.7299 3.2279
Ti 1.8162 4.4204 12.0267
Se 1.8162 3.3293 4.9439
Se 1.8162 3.3293 1.5120
Se 1.8162 0.0000 6.4559
Se 0.0000 2.7048 7.9679
Ti 0.0000 1.6137 0.8850
Li 1.8162 1.3042 9.6838
Se 0.0000 2.7048 11.3997
Se 1.8162 0.0000 0.0000
Se 0.0000 0.6707 3.2279
Se 1.8162 5.3634 9.6838
Ti 1.8162 4.4204 7.3409
Ti 0.0000 1.6137 5.5709


Record 7
10
Lattice="5.1256 0.0000 2.3051 1.9794 6.3215 2.4498 -0.0886 0.4456 7.0480" Properties=species:S:1:pos:R:3 comment="KAgAu3, optimized geometry, DFT PBE-GGA" polymorph_energy_mev_per_atom=0 total_energy_ev_per_atom=-2.8752 ef_ev_per_atom=-0.119 pbc="T T T"
Au 0.6050 2.0678 2.0802
Au 3.6085 0.6232 5.6785
Au 3.1679 2.0678 3.2328
Au 3.4079 6.1439 6.1245
K 0.4491 1.8714 5.8526
K 6.5674 4.8957 5.9504
Ag 3.5082 3.3835 5.9015
Ag 2.5628 0.0000 1.1526
Au 3.8486 4.6993 8.5702
Au 1.2858 4.6993 7.4177


Record 8
12
Lattice="3.8415 0.0000 0.0000 0.0000 3.8415 0.0000 0.0000 0.0000 11.5246" Properties=species:S:1:pos:R:3 comment="Zn2IrRh9, optimized geometry, DFT PBE-GGA" total_energy_ev_per_atom=-6.5506 ef_ev_per_atom=-0.086 pbc="T T T"
Rh 1.9207 0.0000 1.8972
Rh 1.9207 0.0000 5.7623
Ir 0.0000 0.0000 0.0000
Rh 1.9207 1.9207 0.0000
Rh 1.9207 1.9207 7.6863
Rh 0.0000 1.9207 5.7623
Zn 0.0000 0.0000 3.8619
Zn 0.0000 0.0000 7.6627
Rh 0.0000 1.9207 1.8972
Rh 0.0000 1.9207 9.6274
Rh 1.9207 1.9207 3.8382
Rh 1.9207 0.0000 9.6274


Record 9
3
Lattice="3.9820 0.0000 0.0000 0.0000 3.9622 0.0000 0.0000 -1.9811 3.4314" Properties=species:S:1:pos:R:3 comment="ErSeF, optimized geometry, DFT PBE-GGA" e_form_raw_kcal_per_mol_atoms=-65.46 total_energy_ev_per_atom=-6.1449 pbc="T T T"
Er 0.6634 1.9811 1.1438
Se 2.6548 0.0000 2.2876
F 0.6637 0.0000 0.0000


Record 10
9
Lattice="-5.9925 -0.3978 -2.6455 -1.2634 -6.5227 2.3931 3.5607 7.1860 5.1120" Properties=species:S:1:pos:R:3 comment="Ac2CdPd2Pb4, optimized geometry, DFT PBE-GGA" total_energy_ev_per_atom=-4.1968 ef_ev_per_atom=-0.380 pbc="T T T"
Cd 0.0000 0.0000 0.0000
Pb -2.8901 -1.9237 -0.4144
Pb -3.8403 -1.7606 2.7206
Ac -3.1718 1.6315 1.5796
Pb 0.1451 2.0261 2.1390
Ac -0.5234 -1.3660 3.2801
Pb -0.8051 2.1892 5.2741
Pd -1.7183 4.1107 3.2032
Pd -1.9769 -3.8453 1.6564


Record 11
4
Lattice="-3.1083 -1.6624 -0.5912 1.4844 -3.1112 0.9441 -2.4553 1.4816 8.7430" Properties=species:S:1:pos:R:3 comment="CaHo2Ga, optimized geometry, DFT PBE-GGA" polymorph_energy_mev_per_atom=0 total_energy_ev_per_atom=-3.7821 ef_ev_per_atom=-0.236 pbc="T T T"
Ca -2.0396 -1.6460 4.5479
Ho -1.9909 1.2014 7.0894
Ga -0.8120 -2.3868 0.1765
Ho -0.4644 0.2802 1.6536


Record 12
5
Lattice="-1.3304 4.3902 -2.6552 -0.1454 -2.7742 -4.5140 -5.1286 -1.0602 0.8168" Properties=species:S:1:pos:R:3 comment="NaP3Pb, optimized geometry, DFT PBE-GGA" polymorph_energy_mev_per_atom=0 total_energy_ev_per_atom=-3.2384 ef_ev_per_atom=1.013 pbc="T T T"
P -0.6652 2.1951 -1.3276
Na -3.3022 0.2779 -3.1762
P -2.5643 -0.5301 0.4084
Pb 0.0000 0.0000 0.0000
P -0.0727 -1.3871 -2.2570